# ZrZn2Ag (PBE, optimized geometry)
# mass density	7.94	Mg/m³
# crystal system	cubic
# magnetic moment	0.00	μB/cell
# ΔE_f	-136	meV per atom
data_ZrZn2Ag
_symmetry_space_group_name_H-M 'F -4 3 m'
_symmetry_Int_Tables_number 216
_symmetry_space_group_name_Hall 'F -4 2 3'
_cell_length_a 6.511
_cell_length_b 6.511
_cell_length_c 6.511
_cell_angle_alpha 90.00
_cell_angle_beta 90.00
_cell_angle_gamma 90.00
loop_
_atom_site_label
_atom_site_type_symbol
_atom_site_fract_x
_atom_site_fract_y
_atom_site_fract_z
Zr1 Zr 0.000 0.000 0.000
Zn1 Zn 0.000 0.000 0.500
Zn2 Zn 0.250 0.250 0.250
Ag1 Ag 0.250 0.250 0.750


# PrPd2Au2 (PBE, optimized geometry)
# mass density	11.93	Mg/m³
# crystal system	tetragonal
# magnetic moment	0.01	μB/cell
# ΔE_f	-501	meV per atom
data_PrPd2Au2
_symmetry_space_group_name_H-M 'I 4/m m m'
_symmetry_Int_Tables_number 139
_symmetry_space_group_name_Hall '-I 4 2'
_cell_length_a 4.078
_cell_length_b 4.078
_cell_length_c 12.516
_cell_angle_alpha 90.00
_cell_angle_beta 90.00
_cell_angle_gamma 90.00
loop_
_atom_site_label
_atom_site_type_symbol
_atom_site_fract_x
_atom_site_fract_y
_atom_site_fract_z
Pr1 Pr 0.000 0.000 0.000
Pd1 Pd 0.000 0.000 0.398
Au1 Au 0.000 0.500 0.250


# LuHfNb2 (PBE, optimized geometry)
# mass density	10.69	Mg/m³
# crystal system	cubic
# magnetic moment	0.16	μB/cell
# ΔE_f	240	meV per atom
data_LuHfNb2
_symmetry_space_group_name_H-M 'F -4 3 m'
_symmetry_Int_Tables_number 216
_symmetry_space_group_name_Hall 'F -4 2 3'
_cell_length_a 6.946
_cell_length_b 6.946
_cell_length_c 6.946
_cell_angle_alpha 90.00
_cell_angle_beta 90.00
_cell_angle_gamma 90.00
loop_
_atom_site_label
_atom_site_type_symbol
_atom_site_fract_x
_atom_site_fract_y
_atom_site_fract_z
Lu1 Lu 0.000 0.000 0.000
Hf1 Hf 0.250 0.250 0.750
Nb1 Nb 0.000 0.000 0.500
Nb2 Nb 0.250 0.250 0.250


# SmZrAsO (PBE, optimized geometry)
# energy above the lowest structure with this stoichiometry	0.2144	eV per atom
# mass density	6.09	Mg/m³
# crystal system	orthorhombic
# magnetic moment	0.01	μB/cell
data_SmZrAsO
_symmetry_space_group_name_H-M 'P m c 21'
_symmetry_Int_Tables_number 26
_symmetry_space_group_name_Hall 'P 2c -2'
_cell_length_a 4.063
_cell_length_b 7.517
_cell_length_c 5.934
_cell_angle_alpha 90.00
_cell_angle_beta 90.00
_cell_angle_gamma 90.00
loop_
_atom_site_label
_atom_site_type_symbol
_atom_site_fract_x
_atom_site_fract_y
_atom_site_fract_z
Sm1 Sm 0.000 0.220 0.000
Zr1 Zr 0.500 0.392 0.554
As1 As 0.000 0.166 0.495
O1 O 0.500 0.348 0.907


# GdEr2Ga (PBE, optimized geometry)
# energy above the lowest structure with this stoichiometry	0.0000	eV per atom
# mass density	8.63	Mg/m³
# crystal system	orthorhombic
# magnetic moment	0.50	μB/cell
data_GdEr2Ga
_symmetry_space_group_name_H-M 'A m a 2'
_symmetry_Int_Tables_number 40
_symmetry_space_group_name_Hall 'A 2 -2a'
_cell_length_a 4.821
_cell_length_b 10.570
_cell_length_c 8.481
_cell_angle_alpha 90.00
_cell_angle_beta 90.00
_cell_angle_gamma 90.00
loop_
_atom_site_label
_atom_site_type_symbol
_atom_site_fract_x
_atom_site_fract_y
_atom_site_fract_z
Gd1 Gd 0.250 0.113 0.000
Er1 Er 0.250 0.112 0.592
Er2 Er 0.250 0.379 0.797
Ga1 Ga 0.250 0.321 0.295


# HoErTe2 (PBE, optimized geometry)
# energy above the lowest structure with this stoichiometry	0.0000	eV per atom
# mass density	8.46	Mg/m³
# crystal system	trigonal
# magnetic moment	0.01	μB/cell
data_HoErTe2
_symmetry_space_group_name_H-M 'P -3 m 1'
_symmetry_Int_Tables_number 164
_symmetry_space_group_name_Hall '-P 3 2"'
_cell_length_a 4.1839
_cell_length_b 4.1839
_cell_length_c 7.6052
_cell_angle_alpha 90.00
_cell_angle_beta 90.00
_cell_angle_gamma 120.00
loop_
_atom_site_label
_atom_site_type_symbol
_atom_site_fract_x
_atom_site_fract_y
_atom_site_fract_z
Ho1 Ho 0.0000 0.0000 0.0000
Er1 Er 0.0000 0.0000 0.5000
Te1 Te 0.3333 0.6667 0.7483


# LiZr (PBE, optimized geometry)
# energy above the lowest structure with this stoichiometry	0.1474	eV per atom
# mass density	4.20	Mg/m³
# crystal system	orthorhombic
# magnetic moment	1.61	μB/cell
data_LiZr
_symmetry_space_group_name_H-M 'A m m 2'
_symmetry_Int_Tables_number 38
_symmetry_space_group_name_Hall 'A 2 -2'
_cell_length_a 4.708
_cell_length_b 17.423
_cell_length_c 4.732
_cell_angle_alpha 90.00
_cell_angle_beta 90.00
_cell_angle_gamma 90.00
loop_
_atom_site_label
_atom_site_type_symbol
_atom_site_fract_x
_atom_site_fract_y
_atom_site_fract_z
Li1 Li 0.000 0.000 0.000
Li2 Li 0.000 0.089 0.498
Li3 Li 0.500 0.088 0.008
Zr1 Zr 0.000 0.192 0.001
Zr2 Zr 0.500 0.000 0.509
Zr3 Zr 0.500 0.192 0.504


# Y2ErAl3NiAu2 (PBE, optimized geometry)
# electronic total energy	-5.30	eV/atom
# mass density	8.03	Mg/m³
# crystal system	orthorhombic
# magnetic moment	0.00	μB/cell
data_Y2ErAl3NiAu2
_symmetry_space_group_name_H-M 'A m m 2'
_symmetry_Int_Tables_number 38
_symmetry_space_group_name_Hall 'A 2 -2'
_cell_length_a 4.092
_cell_length_b 12.376
_cell_length_c 7.173
_cell_angle_alpha 90.00
_cell_angle_beta 90.00
_cell_angle_gamma 90.00
loop_
_atom_site_label
_atom_site_type_symbol
_atom_site_fract_x
_atom_site_fract_y
_atom_site_fract_z
Y1 Y 0.000 0.201 0.000
Er1 Er 0.000 0.000 0.398
Al1 Al 0.500 0.000 0.022
Al2 Al 0.500 0.112 0.686
Ni1 Ni 0.000 0.000 0.795
Au1 Au 0.500 0.164 0.300


# Pr2NdAlI3 (PBE, optimized geometry)
# electronic total energy	-4.18	eV/atom
# mass density	5.47	Mg/m³
# crystal system	tetragonal
# magnetic moment	0.00	μB/cell
data_Pr2NdAlI3
_symmetry_space_group_name_H-M 'P 4/m m m'
_symmetry_Int_Tables_number 123
_symmetry_space_group_name_Hall '-P 4 2'
_cell_length_a 6.323
_cell_length_b 6.323
_cell_length_c 6.329
_cell_angle_alpha 90.00
_cell_angle_beta 90.00
_cell_angle_gamma 90.00
loop_
_atom_site_label
_atom_site_type_symbol
_atom_site_fract_x
_atom_site_fract_y
_atom_site_fract_z
Pr1 Pr 0.000 0.500 0.000
Nd1 Nd 0.000 0.000 0.500
Al1 Al 0.000 0.000 0.000
I1 I 0.000 0.500 0.500
I2 I 0.500 0.500 0.000


# PrNdInNi2 (PBE, optimized geometry)
# electronic total energy	-5.12	eV/atom
# mass density	7.76	Mg/m³
# crystal system	orthorhombic
# magnetic moment	0.00	μB/cell
data_PrNdInNi2
_symmetry_space_group_name_H-M 'A m m 2'
_symmetry_Int_Tables_number 38
_symmetry_space_group_name_Hall 'A 2 -2'
_cell_length_a 3.795
_cell_length_b 4.018
_cell_length_c 14.529
_cell_angle_alpha 90.00
_cell_angle_beta 90.00
_cell_angle_gamma 90.00
loop_
_atom_site_label
_atom_site_type_symbol
_atom_site_fract_x
_atom_site_fract_y
_atom_site_fract_z
Pr1 Pr 0.000 0.000 0.000
Nd1 Nd 0.000 0.000 0.272
In1 In 0.500 0.000 0.637
Ni1 Ni 0.500 0.000 0.435
Ni2 Ni 0.500 0.000 0.836


# CoHgGeSe3 (PBE, optimized geometry)
# energy above the lowest structure with this stoichiometry	0.0000	eV per atom
# mass density	6.97	Mg/m³
# crystal system	orthorhombic
# magnetic moment	0.02	μB/cell
data_CoHgGeSe3
_symmetry_space_group_name_H-M 'C m c m'
_symmetry_Int_Tables_number 63
_symmetry_space_group_name_Hall '-C 2c 2'
_cell_length_a 3.654
_cell_length_b 15.615
_cell_length_c 9.498
_cell_angle_alpha 90.00
_cell_angle_beta 90.00
_cell_angle_gamma 90.00
loop_
_atom_site_label
_atom_site_type_symbol
_atom_site_fract_x
_atom_site_fract_y
_atom_site_fract_z
Co1 Co 0.000 0.000 0.000
Hg1 Hg 0.000 0.284 0.250
Ge1 Ge 0.000 0.353 0.750
Se1 Se 0.000 0.033 0.250
Se2 Se 0.000 0.401 0.022


# BaPIrO (PBE, optimized geometry)
# energy above the lowest structure with this stoichiometry	0.0000	eV per atom
# mass density	7.41	Mg/m³
# crystal system	tetragonal
# magnetic moment	0.64	μB/cell
data_BaPIrO
_symmetry_space_group_name_H-M 'P 4/n m m'
_symmetry_Int_Tables_number 129
_cell_length_a 4.059
_cell_length_b 4.059
_cell_length_c 10.239
_cell_angle_alpha 90.00
_cell_angle_beta 90.00
_cell_angle_gamma 90.00
loop_
_symmetry_equiv_pos_as_xyz
'x,y,z'
'-x,-y,-z'
'-y+1/2,x,z'
'y+1/2,-x,-z'
'-x+1/2,-y+1/2,z'
'x+1/2,y+1/2,-z'
'y,-x+1/2,z'
'-y,x+1/2,-z'
'x+1/2,-y,-z'
'-x+1/2,y,z'
'-y,-x,-z'
'y,x,z'
'-x,y+1/2,-z'
'x,-y+1/2,z'
'y+1/2,x+1/2,-z'
'-y+1/2,-x+1/2,z'
loop_
_atom_site_label
_atom_site_type_symbol
_atom_site_fract_x
_atom_site_fract_y
_atom_site_fract_z
Ba1 Ba 0.250 0.250 0.141
P1 P 0.250 0.250 0.621
Ir1 Ir 0.250 0.750 0.500
O1 O 0.250 0.750 0.000


# HfZnFeRe (PBE, optimized geometry)
# energy above the lowest structure with this stoichiometry	0.0000	eV per atom
# mass density	12.94	Mg/m³
# crystal system	cubic
# magnetic moment	12.01	μB/cell
# ΔE_f	151	meV per atom
data_HfZnFeRe
_symmetry_space_group_name_H-M 'F -4 3 m'
_symmetry_Int_Tables_number 216
_symmetry_space_group_name_Hall 'F -4 2 3'
_cell_length_a 6.294
_cell_length_b 6.294
_cell_length_c 6.294
_cell_angle_alpha 90.00
_cell_angle_beta 90.00
_cell_angle_gamma 90.00
loop_
_atom_site_label
_atom_site_type_symbol
_atom_site_fract_x
_atom_site_fract_y
_atom_site_fract_z
Hf1 Hf 0.000 0.000 0.000
Zn1 Zn 0.250 0.250 0.250
Fe1 Fe 0.000 0.000 0.500
Re1 Re 0.250 0.250 0.750


# ErZr (PBE, optimized geometry)
# mass density	8.11	Mg/m³
# crystal system	orthorhombic
# magnetic moment	0.01	μB/cell
# ΔE_f	44	meV per atom
data_ErZr
_symmetry_space_group_name_H-M 'P m c 21'
_symmetry_Int_Tables_number 26
_symmetry_space_group_name_Hall 'P 2c -2'
_cell_length_a 5.314
_cell_length_b 10.248
_cell_length_c 5.833
_cell_angle_alpha 90.00
_cell_angle_beta 90.00
_cell_angle_gamma 90.00
loop_
_atom_site_label
_atom_site_type_symbol
_atom_site_fract_x
_atom_site_fract_y
_atom_site_fract_z
Er1 Er 0.000 0.083 0.000
Er2 Er 0.000 0.409 0.020
Er3 Er 0.500 0.404 0.664
Zr1 Zr 0.000 0.243 0.501
Zr2 Zr 0.500 0.086 0.665
Zr3 Zr 0.500 0.236 0.190


# HoAlW (PBE, optimized geometry)
# energy above the lowest structure with this stoichiometry	0.0000	eV per atom
# mass density	9.38	Mg/m³
# crystal system	cubic
# magnetic moment	2.31	μB/cell
data_HoAlW
_symmetry_space_group_name_H-M 'F -4 3 m'
_symmetry_Int_Tables_number 216
_symmetry_space_group_name_Hall 'F -4 2 3'
_cell_length_a 6.431
_cell_length_b 6.431
_cell_length_c 6.431
_cell_angle_alpha 90.00
_cell_angle_beta 90.00
_cell_angle_gamma 90.00
loop_
_atom_site_label
_atom_site_type_symbol
_atom_site_fract_x
_atom_site_fract_y
_atom_site_fract_z
Ho1 Ho 0.000 0.000 0.000
Al1 Al 0.250 0.250 0.250
W1 W 0.000 0.000 0.500


# Mg2InNi (PBE, optimized geometry)
# electronic total energy	-2.93	eV/atom
# mass density	5.28	Mg/m³
# crystal system	cubic
# magnetic moment	0.03	μB/cell
data_Mg2InNi
_symmetry_space_group_name_H-M 'F -4 3 m'
_symmetry_Int_Tables_number 216
_symmetry_space_group_name_Hall 'F -4 2 3'
_cell_length_a 6.536
_cell_length_b 6.536
_cell_length_c 6.536
_cell_angle_alpha 90.00
_cell_angle_beta 90.00
_cell_angle_gamma 90.00
loop_
_atom_site_label
_atom_site_type_symbol
_atom_site_fract_x
_atom_site_fract_y
_atom_site_fract_z
Mg1 Mg 0.000 0.000 0.000
Mg2 Mg 0.250 0.250 0.250
In1 In 0.000 0.000 0.500
Ni1 Ni 0.250 0.250 0.750


# NdTmGeCl2 (PBE, optimized geometry)
# electronic total energy	-5.12	eV/atom
# mass density	5.28	Mg/m³
# crystal system	trigonal
# magnetic moment	0.00	μB/cell
data_NdTmGeCl2
_symmetry_space_group_name_H-M 'P 3 m 1'
_symmetry_Int_Tables_number 156
_symmetry_space_group_name_Hall 'P 3 -2"'
_cell_length_a 4.1322
_cell_length_b 4.1322
_cell_length_c 9.7121
_cell_angle_alpha 90.00
_cell_angle_beta 90.00
_cell_angle_gamma 120.00
loop_
_atom_site_label
_atom_site_type_symbol
_atom_site_fract_x
_atom_site_fract_y
_atom_site_fract_z
Nd1 Nd 0.0000 0.0000 0.0000
Tm1 Tm 0.6667 0.3333 0.3373
Ge1 Ge 0.3333 0.6667 0.1766
Cl1 Cl 0.0000 0.0000 0.4909
Cl2 Cl 0.6667 0.3333 0.8306


# PaInPO (PBE, optimized geometry)
# energy above the lowest structure with this stoichiometry	0.2009	eV per atom
# mass density	5.98	Mg/m³
# crystal system	orthorhombic
# magnetic moment	1.88	μB/cell
data_PaInPO
_symmetry_space_group_name_H-M 'P m c 21'
_symmetry_Int_Tables_number 26
_symmetry_space_group_name_Hall 'P 2c -2'
_cell_length_a 4.215
_cell_length_b 8.262
_cell_length_c 6.262
_cell_angle_alpha 90.00
_cell_angle_beta 90.00
_cell_angle_gamma 90.00
loop_
_atom_site_label
_atom_site_type_symbol
_atom_site_fract_x
_atom_site_fract_y
_atom_site_fract_z
Pa1 Pa 0.000 0.172 0.000
In1 In 0.500 0.352 0.385
P1 P 0.500 0.336 0.799
O1 O 0.000 0.031 0.295


# LiBi5Pd3 (PBE, optimized geometry)
# electronic total energy	-4.38	eV/atom
# mass density	9.35	Mg/m³
# crystal system	hexagonal
data_LiBi5Pd3
_symmetry_space_group_name_H-M 'P 6/m m m'
_symmetry_Int_Tables_number 191
_symmetry_space_group_name_Hall '-P 6 2'
_cell_length_a 5.7970
_cell_length_b 5.7970
_cell_length_c 8.3703
_cell_angle_alpha 90.00
_cell_angle_beta 90.00
_cell_angle_gamma 120.00
loop_
_atom_site_label
_atom_site_type_symbol
_atom_site_fract_x
_atom_site_fract_y
_atom_site_fract_z
Li1 Li 0.0000 0.0000 0.0000
Bi1 Bi 0.0000 0.0000 0.5000
Bi2 Bi 0.3333 0.6667 0.2163
Pd1 Pd 0.0000 0.5000 0.5000


# PuBAu (PBE, optimized geometry)
# energy above the lowest structure with this stoichiometry	0.0000	eV per atom
# mass density	13.63	Mg/m³
# crystal system	cubic
# magnetic moment	17.56	μB/cell
data_PuBAu
_symmetry_space_group_name_H-M 'F -4 3 m'
_symmetry_Int_Tables_number 216
_symmetry_space_group_name_Hall 'F -4 2 3'
_cell_length_a 6.038
_cell_length_b 6.038
_cell_length_c 6.038
_cell_angle_alpha 90.00
_cell_angle_beta 90.00
_cell_angle_gamma 90.00
loop_
_atom_site_label
_atom_site_type_symbol
_atom_site_fract_x
_atom_site_fract_y
_atom_site_fract_z
Pu1 Pu 0.000 0.000 0.000
B1 B 0.250 0.250 0.250
Au1 Au 0.000 0.000 0.500